# Ce2AsRh6S (PBE, relaxed)
# V: 183.67 Å³/f.u.
# total energy: -7.13 eV per atom
# uncorrected formation energy: -653.8 meV per atom
data_Ce2AsRh6S
_chemical_formula_sum 'Ce4 As2 Rh12 S2'
_symmetry_space_group_name_H-M 'P m m n'
_symmetry_Int_Tables_number 59
_cell_length_a 5.541
_cell_length_b 8.474
_cell_length_c 7.823
_cell_angle_alpha 90.00
_cell_angle_beta 90.00
_cell_angle_gamma 90.00
loop_
_symmetry_equiv_pos_as_xyz
'x,y,z'
'-x,-y,-z'
'-x+1/2,-y+1/2,z'
'x+1/2,y+1/2,-z'
'x+1/2,-y,-z'
'-x+1/2,y,z'
'-x,y+1/2,-z'
'x,-y+1/2,z'
loop_
_atom_site_label
_atom_site_fract_x
_atom_site_fract_y
_atom_site_fract_z
Ce1 0.250 0.006 0.233
As1 0.250 0.750 0.774
Rh1 0.000 0.250 0.972
Rh2 0.001 0.250 0.492
Rh3 0.250 0.002 0.613
S1 0.250 0.250 0.741